La5TmGa4 | PBE | optimized geometry

a b c (Å): 4.2674 8.4523 8.7143
angles (deg): 79.49 104.17 90.00
Fractional positions:
La: 0.8257 0.5753 0.6513
La: 0.8284 0.1185 0.6568
La: 0.1716 0.8815 0.3432
La: 0.5000 0.5000 0.0000
La: 0.1743 0.4247 0.3487
Tm: 0.5000 0.0000 0.0000
Ga: 0.3620 0.8308 0.7239
Ga: 0.9697 0.7757 0.9394
Ga: 0.6380 0.1692 0.2761
Ga: 0.0303 0.2243 0.0606

Computed properties:
D(E_F): 10.18 states/eV per cell
magnetic moment: 0.004 μB/f.u.
space-group type: C2/m
calculated total energy: -0.32960 Ry per atom

Sc3TlO | PBE | optimized geometry

a b c (Å): 5.0179 5.0179 8.7441
angles (deg): 90.00 90.00 120.00
Each line ends with the local moment (μB).
Fractional positions:
Sc: 0.0000 0.0000 0.2500  0.26
Sc: 0.0000 0.0000 0.7500  0.26
Sc: 0.3333 0.6667 0.0804  0.59
Sc: 0.3333 0.6667 0.4196  0.59
Sc: 0.6667 0.3333 0.5804  0.59
Sc: 0.6667 0.3333 0.9196  0.59
Tl: 0.3333 0.6667 0.7500  -0.02
Tl: 0.6667 0.3333 0.2500  -0.02
O: 0.0000 0.0000 0.0000  -0.03
O: 0.0000 0.0000 0.5000  -0.03

Computed properties:
D(E_F): 4.06 states/eV per cell
magnetic moment: 1.985 μB/f.u.
space-group type: P6_3/mmc
energy relative to the elements, uncorrected: -0.8749 eV per atom
calculated total energy: -0.45119 Ry per atom

BaSiAu6 | PBE | optimized geometry

a b c (Å): 6.7654 6.7654 6.0511
angles (deg): 56.01 56.01 60.00
Fractional positions:
Ba: 0.5000 0.5000 0.5000
Si: 0.0000 0.0000 0.0000
Au: 0.8716 0.8716 0.7973
Au: 0.4595 0.8716 0.7973
Au: 0.1284 0.5405 0.2027
Au: 0.5405 0.1284 0.2027
Au: 0.1284 0.1284 0.2027
Au: 0.8716 0.4595 0.7973

Computed properties:
D(E_F): 2.58 states/eV per cell
magnetic moment: 0.000 μB/f.u.
space-group type: R-3m
energy relative to the elements, uncorrected: -0.3289 eV per atom
calculated total energy: -0.27232 Ry per atom

Pa2Mn2Ni15 | PBE | optimized geometry

a b c (Å): 6.3655 6.3655 6.3655
angles (deg): 82.23 82.23 82.23
Each line ends with the local moment (μB).
Fractional positions:
Pa: 0.1238 0.1238 0.1238  -0.17
Pa: 0.8762 0.8762 0.8762  -0.17
Mn: 0.3819 0.3819 0.3819  3.82
Mn: 0.6181 0.6181 0.6181  3.82
Ni: 0.5000 0.0000 0.0000  0.12
Ni: 0.0000 0.0000 0.5000  0.12
Ni: 0.0000 0.5000 0.0000  0.12
Ni: 0.0000 0.6711 0.3289  0.21
Ni: 0.6711 0.3289 0.0000  0.21
Ni: 0.3289 0.0000 0.6711  0.21
Ni: 0.3289 0.6711 0.0000  0.21
Ni: 0.6711 0.0000 0.3289  0.21
Ni: 0.0000 0.3289 0.6711  0.21
Ni: 0.1781 0.6570 0.6570  0.27
Ni: 0.6570 0.6570 0.1781  0.27
Ni: 0.6570 0.1781 0.6570  0.27
Ni: 0.8219 0.3430 0.3430  0.27
Ni: 0.3430 0.3430 0.8219  0.27
Ni: 0.3430 0.8219 0.3430  0.27

Computed properties:
D(E_F): 20.62 states/eV per cell
distance to the lowest polymorph of the same formula: 199 meV per atom
magnetic moment: 10.575 μB/f.u.
space-group type: R-3m
calculated total energy: -0.48337 Ry per atom

Ac2Zn3Sn4Pt | PBE | optimized geometry

a b c (Å): 4.7595 4.7595 10.9351
angles (deg): 90.00 90.00 90.00
Fractional positions:
Ac: 0.5000 0.0000 0.2707
Ac: 0.0000 0.5000 0.7293
Zn: 0.0000 0.0000 0.5000
Zn: 0.5000 0.0000 0.8631
Zn: 0.0000 0.5000 0.1369
Sn: 0.5000 0.5000 0.0000
Sn: 0.0000 0.0000 0.0000
Sn: 0.5000 0.0000 0.6230
Sn: 0.0000 0.5000 0.3770
Pt: 0.5000 0.5000 0.5000

Computed properties:
D(E_F): 2.85 states/eV per cell
magnetic moment: 0.000 μB/f.u.
space-group type: P-4m2
calculated total energy: -0.28914 Ry per atom

NdDy2Er5Sc | PBE | optimized geometry

a b c (Å): 5.5378 10.1834 10.3355
angles (deg): 90.00 90.00 105.78
Fractional positions:
Nd: 0.5865 0.1729 0.9533
Nd: 0.4135 0.8271 0.4533
Dy: 0.8888 0.7776 0.8149
Dy: 0.1138 0.2276 0.7345
Dy: 0.1112 0.2224 0.3149
Dy: 0.8862 0.7724 0.2345
Er: 0.3768 0.7537 0.0202
Er: 0.7233 0.4466 0.8222
Er: 0.4805 0.9610 0.7381
Er: 0.2981 0.5961 0.7059
Er: 0.9814 0.9628 0.5206
Er: 0.6232 0.2463 0.5202
Er: 0.2767 0.5534 0.3222
Er: 0.5195 0.0390 0.2381
Er: 0.7019 0.4039 0.2059
Er: 0.0186 0.0372 0.0206
Sc: 0.8034 0.6068 0.5143
Sc: 0.1966 0.3932 0.0143

Computed properties:
D(E_F): 28.13 states/eV per cell
magnetic moment: 0.000 μB/f.u.
space-group type: Cmc2_1
calculated total energy: -0.33943 Ry per atom

Sm3Sb5O12 | PBE | optimized geometry

a b c (Å): 9.5694 9.5694 9.5694
angles (deg): 109.47 109.47 109.47
Fractional positions:
Sm: 0.7500 0.5000 0.2500
Sm: 0.2500 0.7500 0.5000
Sm: 0.7500 0.2500 0.5000
Sm: 0.5000 0.2500 0.7500
Sm: 0.5000 0.7500 0.2500
Sm: 0.2500 0.5000 0.7500
Sb: 0.5090 0.5090 0.5090
Sb: 0.0000 0.4910 0.0000
Sb: 0.4910 0.0000 0.0000
Sb: 0.0000 0.0000 0.4910
Sb: 0.0000 0.7182 0.7182
Sb: 0.0000 0.2818 0.2818
Sb: 0.2818 0.0000 0.2818
Sb: 0.7182 0.0000 0.7182
Sb: 0.2818 0.2818 0.0000
Sb: 0.7182 0.7182 0.0000
O: 0.5252 0.0000 0.8009
O: 0.1991 0.1991 0.7243
O: 0.0000 0.8009 0.5252
O: 0.2757 0.4748 0.4748
O: 0.8009 0.5252 0.0000
O: 0.4748 0.2757 0.4748
O: 0.1991 0.7243 0.1991
O: 0.5252 0.8009 0.0000
O: 0.4748 0.4748 0.2757
O: 0.0000 0.5252 0.8009
O: 0.7243 0.1991 0.1991
O: 0.8009 0.0000 0.5252
O: 0.4931 0.0000 0.2932
O: 0.7068 0.7068 0.1998
O: 0.0000 0.2932 0.4931
O: 0.8002 0.5069 0.5069
O: 0.2932 0.0000 0.4931
O: 0.1998 0.7068 0.7068
O: 0.0000 0.4931 0.2932
O: 0.5069 0.5069 0.8002
O: 0.4931 0.2932 0.0000
O: 0.7068 0.1998 0.7068
O: 0.5069 0.8002 0.5069
O: 0.2932 0.4931 0.0000

Computed properties:
D(E_F): 0.00 states/eV per cell
magnetic moment: 0.000 μB/f.u.
space-group type: I-43m
energy relative to the elements, uncorrected: -2.2106 eV per atom
calculated total energy: -0.50891 Ry per atom

Pm2Sm3HoSe6 | PBE | optimized geometry

a b c (Å): 4.1457 8.3680 9.2917
angles (deg): 102.87 102.89 90.00
Fractional positions:
Pm: 0.8318 0.6641 0.6636
Pm: 0.1682 0.3359 0.3364
Sm: 0.5000 0.5000 0.0000
Sm: 0.8300 0.1667 0.6601
Sm: 0.1700 0.8333 0.3399
Ho: 0.5000 0.0000 0.0000
Se: 0.3376 0.9203 0.6752
Se: 0.6654 0.5844 0.3307
Se: 0.6624 0.0797 0.3248
Se: 0.9986 0.2414 0.9973
Se: 0.0014 0.7586 0.0027
Se: 0.3346 0.4156 0.6693

Computed properties:
D(E_F): 5.75 states/eV per cell
magnetic moment: 0.000 μB/f.u.
space-group type: C2/m
energy relative to the elements, uncorrected: -1.8070 eV per atom
calculated total energy: -0.43381 Ry per atom

Ce2Mg2Ru3 | PBE | optimized geometry

a b c (Å): 4.6134 5.0306 6.9059
angles (deg): 97.72 109.51 90.00
Fractional positions:
Ce: 0.8527 0.6123 0.7054
Ce: 0.1473 0.3877 0.2946
Mg: 0.5897 0.8522 0.1793
Mg: 0.4103 0.1478 0.8207
Ru: 0.0000 0.0000 0.0000
Ru: 0.7919 0.1592 0.5839
Ru: 0.2081 0.8408 0.4161

Computed properties:
D(E_F): 4.88 states/eV per cell
distance to the lowest polymorph of the same formula: 0 meV per atom
magnetic moment: 0.000 μB/f.u.
space-group type: C2/m
calculated total energy: -0.47141 Ry per atom

Mg2InNi | PBE | optimized geometry

a b c (Å): 4.0838 4.0838 10.1058
angles (deg): 78.34 78.34 90.00
Fractional positions:
Ni: 0.5000 0.5000 0.0000
Ni: 0.2500 0.7500 0.5000
Mg: 0.6070 0.1250 0.2500
Mg: 0.1430 0.6250 0.2500
Mg: 0.3750 0.3930 0.7500
Mg: 0.8750 0.8570 0.7500
In: 0.0000 0.0000 0.0000
In: 0.7500 0.2500 0.5000

Computed properties:
D(E_F): 3.77 states/eV per cell
magnetic moment: 0.000 μB/f.u.
space-group type: I-42d
calculated total energy: -0.19908 Ry per atom

Ca2OsAuC | PBE | optimized geometry

a b c (Å): 5.1062 5.1062 3.8781
angles (deg): 90.00 90.00 90.00
Fractional positions:
Os: 0.0000 0.0000 0.5000
Ca: 0.0000 0.5000 0.0000
Ca: 0.5000 0.0000 0.0000
Au: 0.5000 0.5000 0.5000
C: 0.0000 0.0000 0.0000

Computed properties:
D(E_F): 2.74 states/eV per cell
magnetic moment: 0.000 μB/f.u.
space-group type: P4/mmm
calculated total energy: -0.41922 Ry per atom